Entry from the Alexandria database: a relaxed SiTcRu crystal (PBE).

Computed properties:
Uncorrected formation energy = -286 meV per atom
E = -8.64 eV/atom
Symmetry = P3m1
Polymorph energy (0 for the lowest one) = 0.0962 eV per atom
Magnetization = 0.0 μB/cell

Unit cell a=4.1478 b=4.1478 c=2.7571 alpha=90.00 beta=90.00 gamma=120.00
Positions (direct):
1 Ru 0.0000 0.0000 0.1656
2 Si 0.3333 0.6667 0.1686
3 Tc 0.6667 0.3333 0.6659